Below is a relaxed structure of NaCdPb, with properties calculated at the GGA-PBE level.

Calculated values
The formation energy is -102.6 meV per atom. As for the density of states at the Fermi level: 0.56 states/eV/atom. As for the volume: 27.84 Å³/atom.

abc: 3.4205 5.3097 5.3097
angles: 120.00 90.00 90.00
Atoms (fractional coordinates):
Pb 0.1667 0.3333 0.6667
Cd 0.1663 0.0000 0.0000
Na 0.6670 0.6667 0.3333



Below is a relaxed structure of TmMgCuGe, with properties calculated at the GGA-PBE level.

Calculated values
The formation energy is -373.6 meV per atom. As for the density of states at the Fermi level: 0.30 states/eV/atom. As for the volume: 19.00 Å³/atom.

abc: 4.7549 4.7549 4.7549
angles: 60.00 60.00 60.00
Atoms (fractional coordinates):
Cu 0.7500 0.7500 0.7500
Ge 0.2500 0.2500 0.2500
Tm 0.5000 0.5000 0.5000
Mg 0.0000 0.0000 0.0000



Below is a relaxed structure of Zn3Cu2Ni, with properties calculated at the GGA-PBE level.

Calculated values
The formation energy is -135.3 meV per atom. As for the density of states at the Fermi level: 0.42 states/eV/atom. As for the volume: 12.71 Å³/atom.

abc: 4.1535 4.1535 10.2078
angles: 90.00 90.00 120.00
Atoms (fractional coordinates):
Cu 0.0000 0.0000 0.0000
Cu 0.0000 0.0000 0.5000
Cu 0.6667 0.3333 0.8320
Cu 0.3333 0.6667 0.1680
Ni 0.3333 0.6667 0.6651
Ni 0.6667 0.3333 0.3349
Zn 0.6667 0.3333 0.0872
Zn 0.3333 0.6667 0.9128
Zn 0.0000 0.0000 0.7471
Zn 0.0000 0.0000 0.2529
Zn 0.3333 0.6667 0.4170
Zn 0.6667 0.3333 0.5830



Below is a relaxed structure of NaBAs3, with properties calculated at the GGA-PBE level.

Calculated values
The formation energy is 1898.0 meV per atom. As for the density of states at the Fermi level: 0.67 states/eV/atom. As for the volume: 24.77 Å³/atom.

abc: 4.9846 4.9846 4.9846
angles: 90.00 90.00 90.00
Atoms (fractional coordinates):
As 0.0000 0.5000 0.0000
As 0.5000 0.0000 0.0000
As 0.0000 0.0000 0.5000
B 0.5000 0.5000 0.5000
Na 0.0000 0.0000 0.0000



Below is a relaxed structure of Sr6Cd2Pd, with properties calculated at the GGA-PBE level.

Calculated values
The formation energy is -291.4 meV per atom. As for the density of states at the Fermi level: 0.88 states/eV/atom. As for the volume: 41.50 Å³/atom.

abc: 7.5090 8.8617 11.2263
angles: 90.00 89.55 90.00
Atoms (fractional coordinates):
Sr 0.3476 0.8104 0.0580
Sr 0.6623 0.1715 0.5578
Sr 0.6524 0.1896 0.9420
Sr 0.8730 0.9707 0.2483
Sr 0.3377 0.8285 0.4422
Sr 0.1623 0.3285 0.0578
Sr 0.8377 0.6715 0.9422
Sr 0.1270 0.0293 0.7517
Sr 0.1524 0.3104 0.4420
Sr 0.3730 0.5293 0.7483
Sr 0.8476 0.6896 0.5580
Sr 0.6270 0.4707 0.2517
Cd 0.0580 0.6162 0.2552
Cd 0.5580 0.8838 0.7552
Cd 0.4420 0.1162 0.2448
Cd 0.9420 0.3838 0.7448
Pd 0.0000 0.0000 0.5000
Pd 0.5000 0.5000 0.0000



Below is a relaxed structure of PmEu2Al, with properties calculated at the GGA-PBE level.

Calculated values
The formation energy is -50.8 meV per atom. As for the density of states at the Fermi level: 1.04 states/eV/atom. As for the volume: 32.01 Å³/atom.

abc: 3.7396 3.7396 9.1565
angles: 90.00 90.00 90.00
Each line ends with the local moment (μB).
Atoms (fractional coordinates):
Eu 0.0000 0.0000 0.2045  6.84
Eu 0.0000 0.0000 0.7955  6.84
Pm 0.5000 0.5000 0.5000  0.10
Al 0.5000 0.5000 0.0000  -0.02